[1]
# La5CoRu

La5CoRu after structural relaxation (PBE-GGA, Alexandria via LeMat-Bulk).

a b c (Å): 7.907 7.907 7.214
angles (deg): 94.84 94.84 106.17
Fractional coordinates of all 14 atoms:
La 0.057 0.305 0.824
La 0.167 0.833 0.750
La 0.271 0.470 0.400
La 0.305 0.057 0.324
La 0.470 0.271 0.900
La 0.530 0.729 0.100
La 0.695 0.943 0.676
La 0.729 0.530 0.600
La 0.833 0.167 0.250
La 0.943 0.695 0.176
Co 0.000 0.000 0.000
Co 0.000 0.000 0.500
Ru 0.403 0.597 0.750
Ru 0.597 0.403 0.250

Output
total magnetization	0.00	μB per formula unit
DOS(E_F)	6.7	states/eV/f.u.
space group	No. 15
volume	30.6	A^3/atom
energy of formation	-87	meV/atom



[2]
# La6CoRu

La6CoRu after structural relaxation (PBE-GGA, Alexandria via LeMat-Bulk).

a b c (Å): 7.703 7.703 7.703
angles (deg): 52.86 52.86 52.86
Fractional coordinates of all 8 atoms:
La 0.083 0.411 0.754
La 0.246 0.917 0.589
La 0.411 0.754 0.083
La 0.589 0.246 0.917
La 0.754 0.083 0.411
La 0.917 0.589 0.246
Co 0.000 0.000 0.000
Ru 0.500 0.500 0.500

Output
total magnetization	0.00	μB per formula unit
DOS(E_F)	8.6	states/eV/f.u.
space group	No. 148
volume	33.6	A^3/atom
energy of formation	-141	meV/atom